Entry 1:
La8Cd2Ru3 | GGA-PBE | relaxed

## Properties
theoretical density = 6.4 g/cm³
Fermi-level density of states = 0.9974 states/eV/atom
E_tot = -5.511 eV/atom
E_form = -0.198 eV/atom

Geometry as extended XYZ:
```
13
Lattice="9.140 0.000 0.000 0.000 4.588 0.000 -2.066 0.000 10.213" Properties=species:S:1:pos:R:3 pbc="T T T"
La -0.483 0.000 3.405
La -0.313 2.294 9.442
La 1.568 2.294 6.275
La 3.610 0.000 1.468
La 3.464 0.000 8.745
La 5.506 2.294 3.937
La 7.387 2.294 0.771
La 7.557 0.000 6.808
Cd 1.770 2.294 2.878
Cd 5.304 2.294 7.335
Ru -1.033 2.294 5.106
Ru 0.917 0.000 8.399
Ru 6.157 0.000 1.814
```

***

Entry 2:
La2CdRu | GGA-PBE | relaxed

## Properties
theoretical density = 8.5 g/cm³
Fermi-level density of states = 1.1288 states/eV/atom
E_tot = -5.048 eV/atom
E_form = -0.037 eV/atom

Geometry as extended XYZ:
```
8
Lattice="4.693 0.000 0.000 0.000 4.693 0.000 0.000 0.000 8.734" Properties=species:S:1:pos:R:3 pbc="T T T"
La 0.000 0.000 0.000
La 0.000 2.346 2.183
La 2.346 0.000 6.550
La 2.346 2.346 4.367
Cd 0.000 0.000 4.367
Cd 2.346 2.346 0.000
Ru 0.000 2.346 6.550
Ru 2.346 0.000 2.183
```

***

Entry 3:
LaCdRu2 | GGA-PBE | relaxed

## Properties
theoretical density = 8.6 g/cm³
Fermi-level density of states = 1.4598 states/eV/atom
E_tot = -5.532 eV/atom
E_form = 0.566 eV/atom

Geometry as extended XYZ:
```
16
Lattice="4.407 0.000 0.000 0.000 4.407 0.000 0.000 0.000 18.117" Properties=species:S:1:pos:R:3 pbc="T T T"
La 0.000 0.000 0.000
La 0.000 2.204 4.529
La 2.204 0.000 13.587
La 2.204 2.204 9.058
Cd 0.000 0.000 9.058
Cd 0.000 2.204 13.587
Cd 2.204 0.000 4.529
Cd 2.204 2.204 0.000
Ru 0.827 1.102 2.265
Ru 1.102 3.030 6.794
Ru 1.102 3.581 15.852
Ru 1.377 1.102 11.323
Ru 3.030 3.306 11.323
Ru 3.306 0.827 15.852
Ru 3.306 1.377 6.794
Ru 3.581 3.306 2.265
```

***

Entry 4:
La8Cd2Ru | GGA-PBE | relaxed

## Properties
theoretical density = 6.8 g/cm³
Fermi-level density of states = 1.2861 states/eV/atom
E_tot = -4.760 eV/atom
E_form = -0.167 eV/atom

Geometry as extended XYZ:
```
11
Lattice="9.254 -2.838 0.000 9.254 2.838 0.000 -2.507 0.000 6.657" Properties=species:S:1:pos:R:3 pbc="T T T"
La -0.536 0.000 1.951
La 1.890 0.000 5.123
La 5.094 0.000 3.711
La 7.369 0.000 0.618
La 8.632 0.000 6.039
La 10.907 0.000 2.946
La 14.111 0.000 1.534
La 16.537 0.000 4.706
Cd 2.741 0.000 1.298
Cd 13.260 0.000 5.360
Ru 8.000 0.000 3.329
```

***

Entry 5:
La8CdRu2 | GGA-PBE | relaxed

## Properties
theoretical density = 6.8 g/cm³
Fermi-level density of states = 1.1618 states/eV/atom
E_tot = -5.514 eV/atom
E_form = -0.161 eV/atom
offset from the most stable computed form = 21 meV/atom

Geometry as extended XYZ:
```
11
Lattice="4.383 -7.125 0.000 4.383 7.125 0.000 -1.278 0.000 5.599" Properties=species:S:1:pos:R:3 pbc="T T T"
La -0.180 0.000 4.445
La 1.989 1.808 2.506
La 4.383 3.577 0.000
La 1.989 -1.808 2.506
La 5.499 1.808 3.093
La 4.383 -3.577 0.000
La 5.499 -1.808 3.093
La 7.668 0.000 1.154
Cd 4.383 0.000 0.000
Ru 3.744 4.113 2.799
Ru 3.744 -4.113 2.799
```

***

Entry 6:
LaCd2Ru | GGA-PBE | relaxed

## Properties
theoretical density = 8.5 g/cm³
Fermi-level density of states = 0.8006 states/eV/atom
E_tot = -4.056 eV/atom
E_form = -0.048 eV/atom

Geometry as extended XYZ:
```
4
Lattice="3.484 0.000 0.000 0.000 5.087 0.000 -1.700 0.000 5.128" Properties=species:S:1:pos:R:3 pbc="T T T"
La 0.000 0.000 0.000
Cd 0.033 2.543 3.678
Cd 1.751 2.543 1.450
Ru -0.850 0.000 2.564
```

***

Entry 7:
La8CdRu2 | GGA-PBE | relaxed

## Properties
theoretical density = 6.6 g/cm³
Fermi-level density of states = 1.3095 states/eV/atom
E_tot = -5.536 eV/atom
E_form = -0.183 eV/atom
offset from the most stable computed form = 0 meV/atom

Geometry as extended XYZ:
```
11
Lattice="7.747 -3.536 0.000 7.747 3.536 0.000 -0.766 0.000 6.553" Properties=species:S:1:pos:R:3 pbc="T T T"
La 0.896 0.000 2.162
La 5.648 1.704 0.781
La 4.128 0.000 4.060
La 9.080 1.704 5.772
La 5.648 -1.704 0.781
La 10.600 0.000 2.493
La 9.080 -1.704 5.772
La 13.831 0.000 4.391
Cd 7.364 0.000 3.276
Ru 3.354 0.000 1.241
Ru 11.374 0.000 5.312
```

***

Entry 8:
LaCd2Ru | GGA-PBE | relaxed

## Properties
theoretical density = 8.2 g/cm³
Fermi-level density of states = 0.4649 states/eV/atom
E_tot = -3.899 eV/atom
E_form = 0.110 eV/atom

Geometry as extended XYZ:
```
16
Lattice="4.117 0.000 0.000 0.000 4.117 0.000 0.000 0.000 22.278" Properties=species:S:1:pos:R:3 pbc="T T T"
La 0.000 0.000 0.000
La 0.000 2.058 5.569
La 2.058 0.000 16.708
La 2.058 2.058 11.139
Cd 0.904 1.029 13.924
Cd 1.029 2.963 19.493
Cd 1.029 3.212 8.354
Cd 1.154 1.029 2.785
Cd 2.963 3.088 2.785
Cd 3.088 0.904 8.354
Cd 3.088 1.154 19.493
Cd 3.212 3.088 13.924
Ru 0.000 0.000 11.139
Ru 0.000 2.058 16.708
Ru 2.058 0.000 5.569
Ru 2.058 2.058 0.000
```

***

Entry 9:
La2CdRu | GGA-PBE | relaxed

## Properties
theoretical density = 6.7 g/cm³
Fermi-level density of states = 0.6287 states/eV/atom
E_tot = -5.239 eV/atom
E_form = -0.228 eV/atom

Geometry as extended XYZ:
```
8
Lattice="7.130 0.000 0.000 0.000 4.110 0.000 -2.364 0.000 8.326" Properties=species:S:1:pos:R:3 pbc="T T T"
La 1.190 0.000 1.558
La 0.012 2.055 6.768
La 4.755 2.055 1.558
La 3.577 0.000 6.768
Cd -1.182 0.000 4.163
Cd 2.383 2.055 4.163
Ru 0.000 2.055 0.000
Ru 3.565 0.000 0.000
```

***

Entry 10:
La4Cd3Ru2 | GGA-PBE | relaxed

## Properties
theoretical density = 7.2 g/cm³
Fermi-level density of states = 0.7997 states/eV/atom
E_tot = -4.810 eV/atom
E_form = -0.254 eV/atom

Geometry as extended XYZ:
```
18
Lattice="7.873 -4.547 0.000 7.873 4.547 0.000 -0.394 0.000 7.049" Properties=species:S:1:pos:R:3 pbc="T T T"
La 5.932 2.741 6.146
La 4.341 0.525 3.439
La 9.222 2.741 4.428
La 4.144 -0.525 6.964
La 11.208 0.525 0.085
La 6.129 -2.741 2.621
La 11.010 -0.525 3.610
La 9.419 -2.741 0.903
Cd 6.489 3.026 2.548
Cd 9.060 3.026 0.977
Cd 7.774 0.255 1.762
Cd 7.577 -0.255 5.287
Cd 6.292 -3.026 6.072
Cd 8.862 -3.026 4.501
Ru 3.473 1.953 5.719
Ru 3.670 -1.953 2.195
Ru 11.681 1.953 4.855
Ru 11.878 -1.953 1.330
```

***

Entry 11:
LaCdRu2 | GGA-PBE | relaxed

## Properties
theoretical density = 9.6 g/cm³
Fermi-level density of states = 0.5633 states/eV/atom
E_tot = -5.816 eV/atom
E_form = 0.283 eV/atom

Geometry as extended XYZ:
```
4
Lattice="3.044 0.000 0.000 0.000 4.532 0.000 -0.152 0.000 5.713" Properties=species:S:1:pos:R:3 pbc="T T T"
La 0.000 0.000 0.000
Cd 1.446 0.000 2.857
Ru 0.623 2.266 4.534
Ru 2.269 2.266 1.180
```

***

Entry 12:
LaCdRu2 | GGA-PBE | relaxed

## Properties
theoretical density = 9.8 g/cm³
Fermi-level density of states = 1.1339 states/eV/atom
E_tot = -5.802 eV/atom
E_form = 0.296 eV/atom

Geometry as extended XYZ:
```
8
Lattice="6.250 0.000 0.000 0.000 9.033 0.000 -1.328 0.000 2.721" Properties=species:S:1:pos:R:3 pbc="T T T"
La 0.000 0.000 0.000
La 3.125 4.516 0.000
Cd 0.000 4.516 0.000
Cd 3.125 0.000 0.000
Ru 0.898 2.258 1.361
Ru 0.898 6.775 1.361
Ru 4.023 2.258 1.361
Ru 4.023 6.775 1.361
```